Entry 1:
Material: Li2BeSn2
Method: DFT, PBE
State: optimized geometry

Calculated values
Energy relative to the elements   0.229 eV per atom
Calculated volume   193 Å³/cell
Offset from the most stable computed form   0.264 eV/atom
Raw total energy   -28.83 eV per cell
N(E_F)   1.7 states/eV/f.u.

Geometry as POSCAR:
```
Li2BeSn2
1.0
3.7718 0.0000 0.0000
0.0000 3.7718 0.0000
0.0000 0.0000 13.5830
Li Be Sn
4 2 4
Cartesian
0.0000 1.8859 3.3958
0.0000 1.8859 10.1873
1.8859 0.0000 3.3958
1.8859 0.0000 10.1873
0.0000 0.0000 0.0000
1.8859 1.8859 6.7915
0.0000 0.0000 5.4331
0.0000 0.0000 8.1499
1.8859 1.8859 1.3584
1.8859 1.8859 12.2247
```

***

Entry 2:
Material: LiBe2Sn2
Method: DFT, PBE
State: optimized geometry

Calculated values
Energy relative to the elements   0.166 eV per atom
Calculated volume   189 Å³/cell
Offset from the most stable computed form   0.000 eV/atom
Raw total energy   -33.08 eV per cell
N(E_F)   0.9 states/eV/f.u.

Geometry as POSCAR:
```
LiBe2Sn2
1.0
4.0691 0.0000 0.0000
0.0000 4.0691 0.0000
0.0000 0.0000 11.3884
Li Be Sn
2 4 4
Cartesian
0.0000 0.0000 0.0000
2.0345 2.0345 5.6942
0.0000 2.0345 2.8471
0.0000 2.0345 8.5413
2.0345 0.0000 2.8471
2.0345 0.0000 8.5413
0.0000 0.0000 4.2916
0.0000 0.0000 7.0967
2.0345 2.0345 1.4026
2.0345 2.0345 9.9858
```

***

Entry 3:
Material: LiBe3Sn
Method: DFT, PBE
State: optimized geometry

Calculated values
Energy relative to the elements   1.117 eV per atom
Calculated volume   101 Å³/cell
Offset from the most stable computed form   0.200 eV/atom
Raw total energy   -11.51 eV per cell
N(E_F)   2.9 states/eV/f.u.

Geometry as POSCAR:
```
LiBe3Sn
1.0
4.6559 0.0000 0.0000
0.0000 4.6559 0.0000
0.0000 0.0000 4.6559
Li Be Sn
1 3 1
Cartesian
0.0000 0.0000 0.0000
0.0000 2.3279 2.3279
2.3279 0.0000 2.3279
2.3279 2.3279 0.0000
2.3279 2.3279 2.3279
```

***

Entry 4:
Material: Li3BeSn
Method: DFT, PBE
State: optimized geometry

Calculated values
Energy relative to the elements   0.291 eV per atom
Calculated volume   91 Å³/cell
Offset from the most stable computed form   0.000 eV/atom
Raw total energy   -12.01 eV per cell
N(E_F)   1.9 states/eV/f.u.

Geometry as POSCAR:
```
Li3BeSn
1.0
4.5018 0.0000 0.0000
0.0000 4.5018 0.0000
0.0000 0.0000 4.5018
Li Be Sn
3 1 1
Cartesian
0.0000 0.0000 2.2509
0.0000 2.2509 0.0000
2.2509 0.0000 0.0000
0.0000 0.0000 0.0000
2.2509 2.2509 2.2509
```

***

Entry 5:
Material: Li3BeSn
Method: DFT, PBE
State: optimized geometry

Calculated values
Energy relative to the elements   0.619 eV per atom
Calculated volume   132 Å³/cell
Offset from the most stable computed form   0.328 eV/atom
Raw total energy   -10.38 eV per cell
N(E_F)   2.8 states/eV/f.u.

Geometry as POSCAR:
```
Li3BeSn
1.0
5.0856 0.0000 0.0000
0.0000 5.0856 0.0000
0.0000 0.0000 5.0856
Li Be Sn
3 1 1
Cartesian
0.0000 0.0000 2.5428
0.0000 2.5428 0.0000
2.5428 0.0000 0.0000
2.5428 2.5428 2.5428
0.0000 0.0000 0.0000
```

***

Entry 6:
Material: LiBe2Sn2
Method: DFT, PBE
State: optimized geometry

Calculated values
Energy relative to the elements   0.224 eV per atom
Calculated volume   172 Å³/cell
Offset from the most stable computed form   0.058 eV/atom
Raw total energy   -32.50 eV per cell
N(E_F)   1.2 states/eV/f.u.

Geometry as POSCAR:
```
LiBe2Sn2
1.0
6.8118 0.0000 0.0000
0.0000 6.8118 0.0000
0.0000 0.0000 3.6972
Li Be Sn
2 4 4
Cartesian
0.0000 0.0000 0.0000
3.4059 3.4059 0.0000
0.7461 2.6598 0.0000
2.6598 6.0658 0.0000
4.1520 0.7461 0.0000
6.0658 4.1520 0.0000
1.2747 4.6806 1.8486
2.1312 1.2747 1.8486
4.6806 5.5372 1.8486
5.5372 2.1312 1.8486
```

***

Entry 7:
Material: LiBe3Sn
Method: DFT, PBE
State: optimized geometry

Calculated values
Energy relative to the elements   0.917 eV per atom
Calculated volume   67 Å³/cell
Offset from the most stable computed form   0.000 eV/atom
Raw total energy   -12.51 eV per cell
N(E_F)   1.7 states/eV/f.u.

Geometry as POSCAR:
```
LiBe3Sn
1.0
4.0701 0.0000 0.0000
0.0000 4.0701 0.0000
0.0000 0.0000 4.0701
Li Be Sn
1 3 1
Cartesian
0.0000 0.0000 0.0000
0.0000 0.0000 2.0351
0.0000 2.0351 0.0000
2.0351 0.0000 0.0000
2.0351 2.0351 2.0351
```

***

Entry 8:
Material: Li2BeSn2
Method: DFT, PBE
State: optimized geometry

Calculated values
Energy relative to the elements   -0.036 eV per atom
Calculated volume   203 Å³/cell
Offset from the most stable computed form   0.000 eV/atom
Raw total energy   -31.47 eV per cell
N(E_F)   1.8 states/eV/f.u.

Geometry as POSCAR:
```
Li2BeSn2
1.0
6.6666 0.0000 0.0000
0.0000 6.6666 0.0000
0.0000 0.0000 4.5718
Li Be Sn
4 2 4
Cartesian
1.0375 2.2958 0.0000
2.2958 5.6291 0.0000
4.3707 1.0375 0.0000
5.6291 4.3707 0.0000
0.0000 0.0000 2.2859
3.3333 3.3333 2.2859
1.0261 4.3594 2.2859
2.3072 1.0261 2.2859
4.3594 5.6405 2.2859
5.6405 2.3072 2.2859
```

***

Entry 9:
Material: LiBeSn3
Method: DFT, PBE
State: optimized geometry

Calculated values
Energy relative to the elements   0.656 eV per atom
Calculated volume   123 Å³/cell
Offset from the most stable computed form   0.411 eV/atom
Raw total energy   -14.37 eV per cell
N(E_F)   3.1 states/eV/f.u.

Geometry as POSCAR:
```
LiBeSn3
1.0
4.9697 0.0000 0.0000
0.0000 4.9697 0.0000
0.0000 0.0000 4.9697
Li Be Sn
1 1 3
Cartesian
0.0000 0.0000 0.0000
2.4849 2.4849 2.4849
0.0000 0.0000 2.4849
0.0000 2.4849 0.0000
2.4849 0.0000 0.0000
```

***

Entry 10:
Material: LiBeSn2
Method: DFT, PBE
State: optimized geometry

Calculated values
Energy relative to the elements   0.189 eV per atom
Calculated volume   338 Å³/cell
Raw total energy   -51.55 eV per cell
N(E_F)   1.4 states/eV/f.u.

Geometry as POSCAR:
```
LiBeSn2
1.0
4.4542 0.0000 0.0000
0.0000 4.4542 0.0000
0.0000 0.0000 17.0499
Li Be Sn
4 4 8
Cartesian
0.0000 0.0000 0.0000
0.0000 2.2271 4.2625
2.2271 0.0000 12.7874
2.2271 2.2271 8.5249
0.0000 0.0000 8.5249
0.0000 2.2271 12.7874
2.2271 0.0000 4.2625
2.2271 2.2271 0.0000
1.0449 1.1136 10.6562
1.1136 3.2720 14.9186
1.1136 3.4093 6.3937
1.1822 1.1136 2.1312
3.2720 3.3407 2.1312
3.3407 1.0449 6.3937
3.3407 1.1822 14.9186
3.4093 3.3407 10.6562
```

***

Entry 11:
Material: SrLiBeSn2
Method: DFT, PBE
State: optimized geometry

Calculated values
Energy relative to the elements   -0.075 eV per atom
Calculated volume   124 Å³/cell
Raw total energy   -15.70 eV per cell
N(E_F)   2.4 states/eV/f.u.

Geometry as POSCAR:
```
SrLiBeSn2
1.0
5.0402 0.0000 0.0000
0.0000 5.0402 0.0000
0.0000 0.0000 4.8677
Sr Li Be Sn
1 1 1 2
Cartesian
0.0000 0.0000 0.0000
2.5201 2.5201 0.0000
2.5201 2.5201 2.4338
0.0000 2.5201 2.4338
2.5201 0.0000 2.4338
```

***

Entry 12:
Material: SrLiBe3
Method: DFT, PBE
State: optimized geometry

Calculated values
Energy relative to the elements   0.740 eV per atom
Calculated volume   86 Å³/cell
Offset from the most stable computed form   0.000 eV/atom
Raw total energy   -11.07 eV per cell
N(E_F)   2.8 states/eV/f.u.

Geometry as POSCAR:
```
SrLiBe3
1.0
4.4207 0.0000 0.0000
0.0000 4.4207 0.0000
0.0000 0.0000 4.4207
Sr Li Be
1 1 3
Cartesian
0.0000 0.0000 0.0000
2.2103 2.2103 2.2103
0.0000 2.2103 2.2103
2.2103 0.0000 2.2103
2.2103 2.2103 0.0000
```

***

Entry 13:
Material: Sr3LiBe
Method: DFT, PBE
State: optimized geometry

Calculated values
Energy relative to the elements   0.314 eV per atom
Calculated volume   219 Å³/cell
Offset from the most stable computed form   0.000 eV/atom
Raw total energy   -9.12 eV per cell
N(E_F)   4.0 states/eV/f.u.

Geometry as POSCAR:
```
Sr3LiBe
1.0
6.0302 0.0000 0.0000
0.0000 6.0302 0.0000
0.0000 0.0000 6.0302
Sr Li Be
3 1 1
Cartesian
0.0000 0.0000 3.0151
0.0000 3.0151 0.0000
3.0151 0.0000 0.0000
3.0151 3.0151 3.0151
0.0000 0.0000 0.0000
```

***

Entry 14:
Material: SrLiBe4
Method: DFT, PBE
State: optimized geometry

Calculated values
Energy relative to the elements   0.403 eV per atom
Calculated volume   88 Å³/cell
Raw total energy   -16.08 eV per cell
N(E_F)   1.8 states/eV/f.u.

Geometry as POSCAR:
```
SrLiBe4
1.0
0.0000 3.5253 3.5253
3.5253 0.0000 3.5253
3.5253 3.5253 0.0000
Sr Li Be
1 1 4
Cartesian
0.0000 0.0000 0.0000
1.7626 1.7626 1.7626
4.3347 2.7159 2.7159
2.7159 4.3347 2.7159
2.7159 2.7159 4.3347
4.3347 4.3347 4.3347
```

***

Entry 15:
Material: SrLiBe
Method: DFT, PBE
State: optimized geometry

Calculated values
Energy relative to the elements   0.536 eV per atom
Calculated volume   352 Å³/cell
Offset from the most stable computed form   0.136 eV/atom
Raw total energy   -22.86 eV per cell
N(E_F)   2.7 states/eV/f.u.

Geometry as POSCAR:
```
SrLiBe
1.0
7.0589 0.0000 0.0000
0.0000 7.0589 0.0000
0.0000 0.0000 7.0589
Sr Li Be
4 4 4
Cartesian
0.0000 0.0000 0.0000
0.0000 3.5294 3.5294
3.5294 0.0000 3.5294
3.5294 3.5294 0.0000
0.0000 0.0000 3.5294
0.0000 3.5294 0.0000
3.5294 0.0000 0.0000
3.5294 3.5294 3.5294
1.7647 1.7647 1.7647
1.7647 5.2942 5.2942
5.2942 1.7647 5.2942
5.2942 5.2942 1.7647
```

***

Entry 16:
Material: SrLiBe
Method: DFT, PBE
State: optimized geometry

Calculated values
Energy relative to the elements   0.400 eV per atom
Calculated volume   78 Å³/cell
Offset from the most stable computed form   0.000 eV/atom
Raw total energy   -6.12 eV per cell
N(E_F)   3.1 states/eV/f.u.

Geometry as POSCAR:
```
SrLiBe
1.0
4.6097 0.0000 0.0000
-2.3049 3.9921 0.0000
0.0000 0.0000 4.2482
Sr Li Be
1 1 1
Cartesian
0.0000 0.0000 0.0000
0.0000 2.6614 2.1241
2.3049 1.3307 2.1241
```

***

Entry 17:
Material: Sr2Li2Be
Method: DFT, PBE
State: optimized geometry

Calculated values
Energy relative to the elements   0.360 eV per atom
Calculated volume   293 Å³/cell
Raw total energy   -18.24 eV per cell
N(E_F)   4.7 states/eV/f.u.

Geometry as POSCAR:
```
Sr2Li2Be
1.0
7.5238 0.0000 0.0000
0.0000 7.5238 0.0000
0.0000 0.0000 5.1800
Sr Li Be
4 4 2
Cartesian
1.4218 2.3401 0.0000
2.3401 6.1020 0.0000
5.1838 1.4218 0.0000
6.1020 5.1838 0.0000
1.0135 4.7754 2.5900
2.7484 1.0135 2.5900
4.7754 6.5103 2.5900
6.5103 2.7484 2.5900
0.0000 0.0000 2.5900
3.7619 3.7619 2.5900
```

***

Entry 18:
Material: SrLiBe3
Method: DFT, PBE
State: optimized geometry

Calculated values
Energy relative to the elements   1.867 eV per atom
Calculated volume   178 Å³/cell
Offset from the most stable computed form   1.126 eV/atom
Raw total energy   -5.44 eV per cell
N(E_F)   4.6 states/eV/f.u.

Geometry as POSCAR:
```
SrLiBe3
1.0
5.6232 0.0000 0.0000
0.0000 5.6232 0.0000
0.0000 0.0000 5.6232
Sr Li Be
1 1 3
Cartesian
0.0000 0.0000 0.0000
2.8116 2.8116 2.8116
0.0000 0.0000 2.8116
0.0000 2.8116 0.0000
2.8116 0.0000 0.0000
```

***

Entry 19:
Material: SrLiBe
Method: DFT, PBE
State: optimized geometry

Calculated values
Energy relative to the elements   0.909 eV per atom
Calculated volume   383 Å³/cell
Offset from the most stable computed form   0.509 eV/atom
Raw total energy   -18.38 eV per cell
N(E_F)   2.5 states/eV/f.u.

Geometry as POSCAR:
```
SrLiBe
1.0
7.2648 0.0000 0.0000
0.0000 7.2648 0.0000
0.0000 0.0000 7.2648
Sr Li Be
4 4 4
Cartesian
0.0000 0.0000 0.0000
0.0000 3.6324 3.6324
3.6324 0.0000 3.6324
3.6324 3.6324 0.0000
1.8162 1.8162 5.4486
1.8162 5.4486 1.8162
5.4486 1.8162 1.8162
5.4486 5.4486 5.4486
1.8162 1.8162 1.8162
1.8162 5.4486 5.4486
5.4486 1.8162 5.4486
5.4486 5.4486 1.8162
```

***

Entry 20:
Material: SrLiBe
Method: DFT, PBE
State: optimized geometry

Calculated values
Energy relative to the elements   0.408 eV per atom
Calculated volume   142 Å³/cell
Offset from the most stable computed form   0.008 eV/atom
Raw total energy   -12.20 eV per cell
N(E_F)   2.1 states/eV/f.u.

Geometry as POSCAR:
```
SrLiBe
1.0
3.6312 0.0000 0.0000
0.0000 3.6312 0.0000
0.0000 0.0000 10.7544
Sr Li Be
2 2 2
Cartesian
0.0000 0.0000 0.0000
1.8156 1.8156 5.3772
0.0000 0.0000 2.9906
1.8156 1.8156 8.3678
0.0000 0.0000 7.3518
1.8156 1.8156 1.9746
```